La6Pr12Mg | PBE-GGA | optimized geometry

It has space group R-3 (No. 148, hexagonal axes), with a = 12.4000 Å, b = 12.4000 Å, c = 15.4415 Å, α = 90.00°, β = 90.00° and γ = 120.00°. The distinct sites, in fractional coordinates, are La at (0.0186, 0.5950, 0.1896), Pr at (0.0171, 0.8386, 0.3125), Pr at (0.0532, 0.2018, 0.9169) and Mg at (0.0000, 0.0000, 0.5000).

The total energy is -4.568 eV per atom. Its formation energy is 166 kJ/mol of formula units. The calculation puts the calculated volume at 36.074 Å³/atom. The total magnetization comes out at 0.0 μB/cell. The value obtained for the energy above the most stable polymorph in this dataset is 0.0000 eV per atom.